(1)
Ag2SbRu after structural relaxation. Source: Alexandria via LeMat-Bulk, functional PBE.

Unit cell a=3.3965 b=3.3965 c=6.3319 alpha=90.00 beta=90.00 gamma=90.00
Last column: nearest neighbours and their distance in Å.
Space group P4mm (No. 99)
Asymmetric unit:
Ag 0.0000 0.0000 0.0000 x1  4 Ag 2.81, 4 Sb 3.07
Ag 0.5000 0.5000 0.2304 x1  4 Ag 2.81, 4 Ru 2.95, 1 Sb 2.96
Sb 0.5000 0.5000 0.6978 x1  4 Ru 2.70, 1 Ag 2.96
Ru 0.0000 0.0000 0.5013 x1  4 Sb 2.70, 4 Ag 2.95

VASP energy, eV/atom: -4.61
Fermi-level density of states, states/eV/atom: 0.5712
Formation energy (no corrections), eV per atom: 0.17


(2)
Hf2ScBeFe after structural relaxation. Source: Alexandria via LeMat-Bulk, functional PBE.

Unit cell a=4.5982 b=4.5982 c=4.5609 alpha=90.00 beta=90.00 gamma=90.00
Last column: nearest neighbours and their distance in Å.
Space group P4/mmm (No. 123)
Asymmetric unit:
Hf 0.0000 0.5000 0.0000 x2  2 Be 2.30
Sc 0.0000 0.0000 0.5000 x1  2 Be 2.28
Be 0.0000 0.0000 0.0000 x1  2 Sc 2.28, 4 Hf 2.30
Fe 0.5000 0.5000 0.5000 x1  8 Hf 3.24, 4 Sc 3.25

VASP energy, eV/atom: -6.92
Fermi-level density of states, states/eV/atom: 1.5466
E_form, meV per atom: 761


(3)
NaAs2Os after structural relaxation. Source: Alexandria via LeMat-Bulk, functional PBE.

Unit cell a=3.5847 b=3.5847 c=22.2147 alpha=90.00 beta=90.00 gamma=120.00
Last column: nearest neighbours and their distance in Å.
Space group R-3m (No. 166, hexagonal axes)
Asymmetric unit:
Na 0.0000 0.0000 0.0000 x3  6 As 3.07
As 0.0000 0.0000 0.2313 x6  3 Os 2.52
Os 0.0000 0.0000 0.5000 x3  6 As 2.52

VASP energy, eV/atom: -5.45
Fermi-level density of states, states/eV/atom: 0.5734
E_form, meV per atom: 11
Energy above the most stable polymorph in this dataset, eV per formula unit: 0.00


Among the records above, which one has the lowest Fermi-level density of states?
Ag2SbRu


Look up the Fermi-level density of states of the second one.
1.5466 states/eV/atom


Look up the Fermi-level density of states of the second one.
1.5466 states/eV/atom


Look up the Fermi-level density of states of the first one.
0.5712 states/eV/atom